Entry 1:
! PBE CeDyInRh, relaxed; values from VASP
&SYSTEM
  ibrav = 0, nat = 4, ntyp = 4
/
ATOMIC_SPECIES
In 114.82 In.upf
Rh 102.91 Rh.upf
Ce 140.12 Ce.upf
Dy 162.50 Dy.upf
CELL_PARAMETERS angstrom
-1.923 4.754 0.499
-2.953 1.172 4.056
1.796 3.133 3.675
ATOMIC_POSITIONS angstrom
In -1.540 4.529 4.115
Rh 0.000 0.000 0.000
Ce -0.770 2.265 2.057
Dy -2.310 6.794 6.172
! Total moment (μB/f.u.): 0.536
! Formation enthalpy at 0 K (eV per atom): -0.44
! Mass density (Mg/m³): 8.93


Entry 2:
! PBE YNb4Si4, relaxed; values from VASP
&SYSTEM
  ibrav = 0, nat = 18, ntyp = 3
/
ATOMIC_SPECIES
Y 88.91 Y.upf
Nb 92.91 Nb.upf
Si 28.09 Si.upf
CELL_PARAMETERS angstrom
-0.620 1.159 -4.848
5.048 -6.408 -2.178
-6.687 -5.141 -0.373
ATOMIC_POSITIONS angstrom
Y 0.000 0.000 0.000
Y -1.130 -5.195 -3.699
Nb -4.245 -6.384 -2.945
Nb -3.157 -7.433 -5.937
Nb 2.138 -4.291 -3.262
Nb -3.572 -3.952 -1.127
Nb -0.233 -8.152 -5.161
Nb 1.780 -7.312 -2.615
Nb 0.429 -2.083 -5.117
Nb -2.179 -1.953 -3.430
Si 1.489 -6.273 -4.880
Si -3.889 -3.855 -3.614
Si -0.397 -8.744 -2.628
Si -4.548 -5.322 -5.306
Si 1.808 -4.172 -5.844
Si 0.253 -2.652 -2.680
Si -2.373 -8.000 -3.622
Si -1.383 -2.543 -1.019
! Total moment (μB/f.u.): 0.000
! Formation energy without anion corrections (eV per atom): -0.39
! Mass density (Mg/m³): 5.31


Entry 3:
! PBE Zr2BiTe2, relaxed; values from VASP
&SYSTEM
  ibrav = 0, nat = 10, ntyp = 3
/
ATOMIC_SPECIES
Te 127.60 Te.upf
Bi 208.98 Bi.upf
Zr 91.22 Zr.upf
CELL_PARAMETERS angstrom
8.329 0.000 0.000
0.000 8.329 0.000
0.000 0.000 3.646
ATOMIC_POSITIONS angstrom
Te 1.180 5.345 1.823
Te 5.345 7.150 1.823
Te 7.150 2.985 1.823
Te 2.985 1.180 1.823
Bi 0.000 0.000 0.000
Bi 4.165 4.165 0.000
Zr 2.959 7.124 0.000
Zr 7.124 5.370 0.000
Zr 5.370 1.206 0.000
Zr 1.206 2.959 0.000
! Total moment (μB/f.u.): 0.000
! Formation energy without anion corrections (eV per atom): -0.60
! Mass density (Mg/m³): 8.49


Entry 4:
! PBE La2O3, relaxed; values from VASP
&SYSTEM
  ibrav = 0, nat = 40, ntyp = 2
/
ATOMIC_SPECIES
La 138.91 La.upf
O 16.00 O.upf
CELL_PARAMETERS angstrom
9.871 0.000 0.000
-3.290 9.306 0.000
-3.290 -4.653 8.059
ATOMIC_POSITIONS angstrom
La 4.745 3.220 2.015
La 4.745 7.114 0.234
La -4.745 3.355 6.278
La -1.454 4.518 3.796
La 1.454 -1.028 5.811
La 5.126 -3.220 6.045
La -1.454 1.433 6.045
La -1.454 -2.461 7.826
La 8.035 1.298 1.781
La 4.745 0.135 4.263
La 1.836 5.681 2.248
La -1.836 7.873 2.015
La 4.935 0.000 0.000
La -1.645 -2.327 4.030
La -1.645 4.653 0.000
La 1.645 2.327 4.030
O 2.246 6.937 0.215
O -0.553 5.825 1.859
O -0.904 -0.906 2.171
O 2.246 3.325 1.870
O 2.386 0.006 3.729
O -3.843 1.024 6.115
O 5.676 0.900 2.160
O 2.501 -0.075 0.301
O 5.791 -2.029 3.944
O -1.044 -0.956 5.974
O -0.553 2.457 0.085
O -0.789 2.104 3.815
O 1.044 -2.284 7.844
O 3.843 -1.172 6.200
O 4.195 5.559 5.889
O 1.044 1.328 6.189
O 4.079 2.549 4.245
O 3.843 2.196 7.974
O 4.334 5.609 2.085
O -2.501 6.682 4.115
O 0.789 4.728 7.759
O -2.386 3.753 5.900
O 7.133 3.629 1.944
O 0.904 4.647 4.330
! Total moment (μB/f.u.): 0.000
! Formation energy without anion corrections (eV per atom): -3.46
! Mass density (Mg/m³): 5.85


Entry 5:
! PBE Tb4PmPr, relaxed; values from VASP
&SYSTEM
  ibrav = 0, nat = 12, ntyp = 3
/
ATOMIC_SPECIES
Tb 158.93 Tb.upf
Pm 145.00 Pm.upf
Pr 140.91 Pr.upf
CELL_PARAMETERS angstrom
6.941 -0.583 0.000
-3.145 6.214 0.000
0.000 0.000 9.784
ATOMIC_POSITIONS angstrom
Tb 3.459 1.763 9.088
Tb 0.336 3.868 4.196
Tb 0.336 3.868 0.696
Tb 3.459 1.763 5.588
Tb 2.026 0.780 2.446
Tb 1.769 4.852 7.338
Tb -0.038 2.171 7.338
Tb 3.833 3.461 2.446
Pm 0.000 0.000 0.000
Pm 0.000 0.000 4.892
Pr -1.340 4.998 7.338
Pr 5.135 0.634 2.446
! Total moment (μB/f.u.): 0.000
! Formation enthalpy at 0 K (eV per atom): 0.24
! Mass density (Mg/m³): 7.57
! Polymorph energy (0 for the lowest one) (kJ/mol of formula units): 129


Entry 6:
! PBE Ce2PaNi3H12, relaxed; values from VASP
&SYSTEM
  ibrav = 0, nat = 18, ntyp = 4
/
ATOMIC_SPECIES
Ce 140.12 Ce.upf
Pa 231.04 Pa.upf
Ni 58.69 Ni.upf
H 1.01 H.upf
CELL_PARAMETERS angstrom
-4.823 3.156 -1.817
-2.600 -1.525 -5.239
-5.406 -2.696 0.176
ATOMIC_POSITIONS angstrom
Ce -7.634 -0.633 -4.094
Ce -5.195 -0.431 -2.786
Pa 0.000 0.000 0.000
Ni -2.412 1.578 -0.908
Ni -1.300 -0.762 -2.619
Ni -2.703 -1.348 0.088
H -6.719 -1.945 -1.706
H -8.750 0.209 -5.972
H -8.993 -2.227 -5.143
H -6.360 1.667 -2.935
H -9.918 -0.278 -3.718
H -4.988 -1.222 -5.047
H -6.109 0.880 -5.173
H -4.078 -1.274 -0.907
H -3.836 1.162 -1.737
H -6.469 -2.732 -3.944
H -2.910 -0.786 -3.161
H -7.841 0.157 -1.832
! Total moment (μB/f.u.): 2.159
! Mass density (Mg/m³): 7.15
! VASP energy (eV/atom): -4.6329


Entry 7:
! PBE Ba2Sr3Au2, relaxed; values from VASP
&SYSTEM
  ibrav = 0, nat = 7, ntyp = 3
/
ATOMIC_SPECIES
Ba 137.33 Ba.upf
Sr 87.62 Sr.upf
Au 196.97 Au.upf
CELL_PARAMETERS angstrom
-2.001 -3.489 1.756
2.684 -6.063 -3.504
6.997 -3.783 5.939
ATOMIC_POSITIONS angstrom
Ba 2.289 -4.113 -0.080
Ba 5.390 -9.222 4.270
Sr -1.000 -1.744 0.878
Sr 4.431 -7.881 0.358
Sr 3.249 -5.454 3.833
Au 7.424 -8.974 1.597
Au 0.256 -4.361 2.594
! Total moment (μB/f.u.): 0.000
! Formation enthalpy at 0 K (eV per atom): -0.47
! Mass density (Mg/m³): 5.22


Entry 8:
! PBE HoZn2Pd7, relaxed; values from VASP
&SYSTEM
  ibrav = 0, nat = 10, ntyp = 3
/
ATOMIC_SPECIES
Ho 164.93 Ho.upf
Zn 65.41 Zn.upf
Pd 106.42 Pd.upf
CELL_PARAMETERS angstrom
-0.600 1.510 -4.140
-6.804 1.768 1.630
5.273 4.825 0.996
ATOMIC_POSITIONS angstrom
Ho 0.000 0.000 0.000
Zn -3.482 3.439 -0.630
Zn 1.352 4.663 -0.884
Pd -4.213 2.424 1.494
Pd 2.682 4.169 1.132
Pd 0.824 2.341 -1.654
Pd -2.955 5.761 0.140
Pd -1.995 1.628 -1.506
Pd -0.136 6.475 -0.008
Pd -1.065 4.051 -0.757
! Total moment (μB/f.u.): 0.000
! Formation enthalpy at 0 K (eV per atom): -0.14
! Mass density (Mg/m³): 8.58


Entry 9:
! PBE KInPd3, relaxed; values from VASP
&SYSTEM
  ibrav = 0, nat = 5, ntyp = 3
/
ATOMIC_SPECIES
K 39.10 K.upf
Pd 106.42 Pd.upf
In 114.82 In.upf
CELL_PARAMETERS angstrom
5.000 0.000 0.000
0.000 5.000 0.000
0.000 0.000 5.000
ATOMIC_POSITIONS angstrom
K 0.000 0.000 0.000
Pd 0.000 2.500 0.000
Pd 0.000 0.000 2.500
Pd 2.500 0.000 0.000
In 2.500 2.500 2.500
! Total moment (μB/f.u.): 0.000
! Formation enthalpy at 0 K (eV per atom): 1.07
! Mass density (Mg/m³): 6.28
! Polymorph energy (0 for the lowest one) (kJ/mol of formula units): 409


Entry 10:
! PBE Ho2GaFe2Ni5, relaxed; values from VASP
&SYSTEM
  ibrav = 0, nat = 20, ntyp = 4
/
ATOMIC_SPECIES
Ho 164.93 Ho.upf
Ga 69.72 Ga.upf
Fe 55.84 Fe.upf
Ni 58.69 Ni.upf
CELL_PARAMETERS angstrom
-2.258 0.550 2.841
5.318 -4.937 5.184
4.599 7.306 2.240
ATOMIC_POSITIONS angstrom
Ho 4.444 -2.042 3.928
Ho 5.473 4.411 3.496
Ho 2.429 1.449 1.650
Ho 7.488 0.919 5.774
Ga 0.000 0.000 0.000
Ga 4.959 1.184 3.712
Fe 3.469 3.932 1.995
Fe 6.449 -1.564 5.429
Fe 7.343 3.394 5.179
Fe 2.574 -1.025 2.245
Ni 0.259 -0.318 2.638
Ni 7.401 3.236 7.627
Ni 2.828 5.758 3.504
Ni 4.665 -0.011 6.081
Ni 4.831 -2.839 6.761
Ni 2.995 2.930 4.184
Ni 5.110 2.689 5.912
Ni 2.549 0.230 4.353
Ni 1.530 -2.193 4.012
Ni 1.170 3.928 2.540
! Total moment (μB/f.u.): 5.943
! Formation enthalpy at 0 K (eV per atom): -0.20
! Mass density (Mg/m³): 9.15


Entry 11:
! PBE LiPrLuPt, relaxed; values from VASP
&SYSTEM
  ibrav = 0, nat = 4, ntyp = 4
/
ATOMIC_SPECIES
Pr 140.91 Pr.upf
Lu 174.97 Lu.upf
Pt 195.08 Pt.upf
Li 6.94 Li.upf
CELL_PARAMETERS angstrom
5.040 0.000 0.000
2.520 4.365 0.000
2.520 1.455 4.115
ATOMIC_POSITIONS angstrom
Pr 5.040 2.910 2.058
Lu 0.000 0.000 0.000
Pt 7.561 4.365 3.087
Li 2.520 1.455 1.029
! Total moment (μB/f.u.): 0.000
! Formation enthalpy at 0 K (eV per atom): -0.60
! Mass density (Mg/m³): 9.50


Entry 12:
! PBE BaGaAu2, relaxed; values from VASP
&SYSTEM
  ibrav = 0, nat = 8, ntyp = 3
/
ATOMIC_SPECIES
Au 196.97 Au.upf
Ba 137.33 Ba.upf
Ga 69.72 Ga.upf
CELL_PARAMETERS angstrom
5.383 0.000 0.000
0.000 5.383 0.000
2.691 2.691 8.653
ATOMIC_POSITIONS angstrom
Au 2.696 1.346 2.163
Au 2.686 4.037 2.163
Au 4.037 5.378 6.490
Au 6.728 5.388 6.490
Ba 0.000 0.000 0.000
Ba 5.383 2.691 4.327
Ga 2.691 2.691 0.000
Ga 2.691 5.383 4.327
! Total moment (μB/f.u.): 0.000
! Formation enthalpy at 0 K (eV per atom): -0.48
! Mass density (Mg/m³): 7.96